--- 1 ---
The following is a PBE-GGA calculation of a relaxed structure of CeHoAs2, from the Alexandria database.

Computed properties:
Magnetization in μB/f.u.: 0.599
Calculated volume in Å³/atom: 25.35
Crystal system: hexagonal

Unit cell a=4.1473 b=4.1473 c=13.6142 alpha=90.00 beta=90.00 gamma=120.00
Last column: magnetic moment on the atom in μB.
Atoms (fractional coordinates):
Ce1 0.0000 0.0000 0.0000  0.52
Ce2 0.0000 0.0000 0.5000  0.52
Ho1 0.6667 0.3333 0.2500  0.02
Ho2 0.3333 0.6667 0.7500  0.02
As1 0.6667 0.3333 0.8746  -0.02
As2 0.6667 0.3333 0.6254  -0.02
As3 0.3333 0.6667 0.3746  -0.02
As4 0.3333 0.6667 0.1254  -0.02


--- 2 ---
The following is a PBE-GGA calculation of a relaxed structure of CeHoAs2, from the Alexandria database.

Computed properties:
Magnetization in μB/f.u.: 0.645
Calculated volume in Å³/atom: 25.41
Crystal system: trigonal

Unit cell a=4.1611 b=4.1611 c=7.1917 alpha=90.00 beta=106.82 gamma=120.00
Last column: magnetic moment on the atom in μB.
Atoms (fractional coordinates):
Ce1 0.0000 0.5000 0.5000  0.59
Ho1 0.0000 0.0000 0.0000  0.00
As1 0.4962 0.7481 0.2443  -0.02
As2 0.5038 0.2519 0.7557  -0.02


The least stable of them is 1.


--- 1 ---
The following is a PBE-GGA calculation of a relaxed structure of CeInAs2, from the Alexandria database.

Computed properties:
Magnetization in μB/f.u.: 0.000
Calculated volume in Å³/atom: 22.15
Crystal system: tetragonal

Unit cell a=3.8610 b=4.7904 c=4.7904 alpha=90.00 beta=90.00 gamma=90.00
Atoms (fractional coordinates):
As1 0.0000 0.5000 0.0000
As2 0.0000 0.0000 0.5000
Ce1 0.5000 0.0000 0.0000
In1 0.5000 0.5000 0.5000


--- 2 ---
The following is a PBE-GGA calculation of a relaxed structure of CeInAs2, from the Alexandria database.

Computed properties:
Magnetization in μB/f.u.: 0.002
Calculated volume in Å³/atom: 26.18
Crystal system: trigonal

Unit cell a=4.2600 b=4.2600 c=7.1027 alpha=72.55 beta=72.55 gamma=60.00
Atoms (fractional coordinates):
Ce1 0.6649 0.6649 0.0052
As1 0.2576 0.2576 0.2272
As2 0.0822 0.0822 0.7533
In1 0.4952 0.4952 0.5143


The least stable of them is 2.


--- 1 ---
The following is a PBE-GGA calculation of a relaxed structure of LaCeAs2, from the Alexandria database.

Computed properties:
Magnetization in μB/f.u.: 0.710
Calculated volume in Å³/atom: 27.94
Crystal system: hexagonal

Unit cell a=4.2656 b=4.2656 c=14.1851 alpha=90.00 beta=90.00 gamma=120.00
Last column: magnetic moment on the atom in μB.
Atoms (fractional coordinates):
As1 0.6667 0.3333 0.8820  -0.02
As2 0.3333 0.6667 0.1180  -0.02
As3 0.6667 0.3333 0.6180  -0.02
As4 0.3333 0.6667 0.3820  -0.02
La1 0.3333 0.6667 0.7500  0.03
La2 0.6667 0.3333 0.2500  0.03
Ce1 0.0000 0.0000 0.0000  0.60
Ce2 0.0000 0.0000 0.5000  0.60


--- 2 ---
The following is a PBE-GGA calculation of a relaxed structure of LaCeAs2, from the Alexandria database.

Computed properties:
Magnetization in μB/f.u.: 0.832
Calculated volume in Å³/atom: 28.50
Crystal system: trigonal

Unit cell a=4.2345 b=4.2345 c=7.7382 alpha=74.12 beta=74.12 gamma=60.00
Last column: magnetic moment on the atom in μB.
Atoms (fractional coordinates):
La1 0.4969 0.4969 0.5092  0.04
As1 0.0794 0.0794 0.7617  -0.02
As2 0.2546 0.2546 0.2363  -0.02
Ce1 0.6691 0.6691 0.9928  0.67


The least stable of them is 2.


--- 1 ---
The following is a PBE-GGA calculation of a relaxed structure of La2CeAs, from the Alexandria database.

Computed properties:
Magnetization in μB/f.u.: 1.531
Calculated volume in Å³/atom: 34.05
Crystal system: trigonal

Unit cell a=4.0416 b=4.0416 c=9.9074 alpha=78.23 beta=78.23 gamma=60.00
Last column: magnetic moment on the atom in μB.
Atoms (fractional coordinates):
As1 0.6668 0.6668 0.9996  0.00
La1 0.0641 0.0641 0.8076  0.10
La2 0.2692 0.2692 0.1924  -0.03
Ce1 0.4999 0.4999 0.5004  1.05


--- 2 ---
The following is a PBE-GGA calculation of a relaxed structure of La2CeAs, from the Alexandria database.

Computed properties:
Magnetization in μB/f.u.: 2.042
Calculated volume in Å³/atom: 34.02
Crystal system: trigonal

Unit cell a=4.0461 b=4.0461 c=9.8771 alpha=78.18 beta=78.18 gamma=60.00
Last column: magnetic moment on the atom in μB.
Atoms (fractional coordinates):
La1 0.7310 0.7310 0.8069  0.06
La2 0.2690 0.2690 0.1931  0.06
As1 0.0000 0.0000 0.0000  0.01
Ce1 0.5000 0.5000 0.5000  1.19


The least stable of them is 2.